BaAlP2Cl after structural relaxation, computed with PBEsol.

abc: 5.3914 5.3914 15.0797
angles: 90.00 90.00 90.00
Closest atoms and distances in Å follow each position.
Sites, in units of the cell vectors:
Ba: 0.0000 0.0000 0.0000  4 P 2.70
Al: 0.0000 0.0000 0.5000  4 Cl 3.81
P: 0.0000 0.5000 0.0000  2 Ba 2.70
P: 0.5000 0.0000 0.0000  2 Ba 2.70
Cl: 0.5000 0.5000 0.5000  4 Al 3.81

Properties
- ΔE_f (raw) (eV/f.u.) = 6.00
- total moment (μB/f.u.) = 0.977
- SG = P4/mmm
- total DFT energy (no corrections) (eV for the cell shown) = -13.833